[1]
DFT (PBE) results for an optimized crystal structure of Ta4In5.

Its energy above the most stable polymorph in this dataset is 0.0 meV/atom. The value obtained for the total energy is -6.575 eV/atom. For the total magnetization, the calculation gives 0.00 μB/atom. As for the formation energy: 214 meV/atom.

abc: 9.5771 9.5771 3.9966
angles: 90.00 90.00 90.00
Space group I4/mmm (No. 139)
One atom of each set of equivalent atoms:
Ta 0.0000 0.3437 0.0000
In 0.0000 0.0000 0.0000
In 0.1709 0.1709 0.5000

[2]
DFT (PBE) results for an optimized crystal structure of TaIn3.

The value obtained for the total energy is -4.698 eV/atom. For the total magnetization, the calculation gives 0.00 μB/atom. As for the formation energy: 319 meV/atom.

abc: 9.8771 9.8771 3.1301
angles: 90.00 90.00 120.00
Space group R-3m (No. 166, hexagonal axes)
One atom of each set of equivalent atoms:
Ta 0.0000 0.0000 0.0000
In 0.0000 0.5000 0.0000

[3]
DFT (PBE) results for an optimized crystal structure of TaIn.

The value obtained for the total energy is -7.076 eV/atom. For the total magnetization, the calculation gives 0.00 μB/atom. As for the formation energy: 220 meV/atom.

abc: 2.9720 4.8927 5.4830
angles: 90.00 95.57 90.00
Space group P2_1/m (No. 11)
One atom of each set of equivalent atoms:
Ta 0.0792 0.2500 0.3677
In 0.4805 0.7500 0.1479

[4]
DFT (PBE) results for an optimized crystal structure of Ta4In.

Its energy above the most stable polymorph in this dataset is 4.4 meV/atom. The value obtained for the total energy is -9.933 eV/atom. For the total magnetization, the calculation gives 0.00 μB/atom. As for the formation energy: 97 meV/atom.

abc: 7.3811 7.3811 3.4991
angles: 90.00 90.00 90.00
Space group I4/m (No. 87)
One atom of each set of equivalent atoms:
Ta 0.0970 0.6902 0.0000
In 0.0000 0.0000 0.5000

[5]
DFT (PBE) results for an optimized crystal structure of TaIn2.

The value obtained for the total energy is -5.547 eV/atom. For the total magnetization, the calculation gives 0.00 μB/atom. As for the formation energy: 230 meV/atom.

abc: 11.3906 3.0826 7.4467
angles: 90.00 105.14 90.00
Space group Cm (No. 8)
One atom of each set of equivalent atoms:
Ta 0.0000 0.0000 0.0000
Ta 0.1729 0.5000 0.3410
In 0.1026 0.5000 0.7272
In 0.2770 0.0000 0.0656
In 0.3286 0.0000 0.6632
In 0.4542 0.5000 0.3770

[6]
DFT (PBE) results for an optimized crystal structure of TaIn3.

The value obtained for the total energy is -4.748 eV/atom. For the total magnetization, the calculation gives 0.00 μB/atom. As for the formation energy: 269 meV/atom.

abc: 10.8170 3.0457 5.3679
angles: 90.00 96.73 90.00
Space group C2/m (No. 12)
One atom of each set of equivalent atoms:
Ta 0.0000 0.0000 0.0000
In 0.0000 0.5000 0.5000
In 0.2376 0.5000 0.2366

[7]
DFT (PBE) results for an optimized crystal structure of Ta3In.

The value obtained for the total energy is -9.478 eV/atom. For the total magnetization, the calculation gives 0.00 μB/atom. As for the formation energy: 96 meV/atom.

abc: 3.4127 4.7724 9.4099
angles: 90.00 90.00 90.00
Space group Cmmm (No. 65)
One atom of each set of equivalent atoms:
Ta 0.0000 0.0000 0.0000
Ta 0.0000 0.5000 0.2391
In 0.0000 0.0000 0.5000

[8]
DFT (PBE) results for an optimized crystal structure of TaIn8.

The value obtained for the total energy is -3.507 eV/atom. For the total magnetization, the calculation gives 0.00 μB/atom. As for the formation energy: 244 meV/atom.

abc: 10.3441 10.3441 4.1298
angles: 90.00 90.00 90.00
Space group I4/mmm (No. 139)
One atom of each set of equivalent atoms:
Ta 0.0000 0.0000 0.0000
In 0.0000 0.3272 0.0000
In 0.1554 0.1554 0.5000

[9]
DFT (PBE) results for an optimized crystal structure of TaIn.

The value obtained for the total energy is -6.780 eV/atom. For the total magnetization, the calculation gives 0.00 μB/atom. As for the formation energy: 515 meV/atom.

abc: 6.8411 6.8411 6.8411
angles: 90.00 90.00 90.00
Space group Fd-3m (No. 227, origin choice 2)
One atom of each set of equivalent atoms:
Ta 0.1250 0.1250 0.1250
In 0.1250 0.1250 0.6250

[10]
DFT (PBE) results for an optimized crystal structure of TaIn5.

Its energy above the most stable polymorph in this dataset is 135.7 meV/atom. The value obtained for the total energy is -3.903 eV/atom. For the total magnetization, the calculation gives 0.27 μB/atom. As for the formation energy: 355 meV/atom.

abc: 5.5022 5.5022 5.3759
angles: 90.00 90.00 120.00
Space group P-62m (No. 189)
One atom of each set of equivalent atoms:
Ta 0.0000 0.0000 0.0000
In 0.0000 0.6840 0.5000
In 0.3333 0.6667 0.0000

[11]
DFT (PBE) results for an optimized crystal structure of TaIn2.

The value obtained for the total energy is -5.153 eV/atom. For the total magnetization, the calculation gives 0.00 μB/atom. As for the formation energy: 623 meV/atom.

abc: 5.0792 5.0792 5.7710
angles: 90.00 90.00 120.00
Space group P6_3/mmc (No. 194)
One atom of each set of equivalent atoms:
Ta 0.3333 0.6667 0.2500
In 0.0000 0.0000 0.0000
In 0.3333 0.6667 0.7500

[12]
DFT (PBE) results for an optimized crystal structure of Ta4In5.

Its energy above the most stable polymorph in this dataset is 237.9 meV/atom. The value obtained for the total energy is -6.338 eV/atom. For the total magnetization, the calculation gives 0.00 μB/atom. As for the formation energy: 452 meV/atom.

abc: 8.6717 8.6717 5.6480
angles: 90.00 90.00 120.00
Space group P6_3/mcm (No. 193)
One atom of each set of equivalent atoms:
Ta 0.0000 0.0000 0.0000
Ta 0.0000 0.3863 0.2500
In 0.0000 0.2864 0.7500
In 0.3333 0.6667 0.0000

[13]
DFT (PBE) results for an optimized crystal structure of Ta5In3.

Its energy above the most stable polymorph in this dataset is 182.3 meV/atom. The value obtained for the total energy is -8.105 eV/atom. For the total magnetization, the calculation gives 0.00 μB/atom. As for the formation energy: 330 meV/atom.

abc: 8.2678 8.2678 5.3672
angles: 90.00 90.00 120.00
Space group P6_3/mcm (No. 193)
One atom of each set of equivalent atoms:
Ta 0.0000 0.2041 0.2500
Ta 0.3333 0.6667 0.0000
In 0.0000 0.4051 0.7500

[14]
DFT (PBE) results for an optimized crystal structure of TaIn3.

The value obtained for the total energy is -4.721 eV/atom. For the total magnetization, the calculation gives 0.00 μB/atom. As for the formation energy: 296 meV/atom.

abc: 6.0814 9.0783 3.1444
angles: 90.00 90.00 90.00
Space group Cmmm (No. 65)
One atom of each set of equivalent atoms:
Ta 0.0000 0.0000 0.0000
In 0.0000 0.5000 0.0000
In 0.2500 0.2500 0.5000

[15]
DFT (PBE) results for an optimized crystal structure of TaIn.

The value obtained for the total energy is -6.348 eV/atom. For the total magnetization, the calculation gives 0.00 μB/atom. As for the formation energy: 947 meV/atom.

abc: 4.2095 4.2095 5.8421
angles: 90.00 90.00 120.00
Space group P6_3/mmc (No. 194)
One atom of each set of equivalent atoms:
Ta 0.3333 0.6667 0.2500
In 0.0000 0.0000 0.0000

[16]
DFT (PBE) results for an optimized crystal structure of Ta3In.

The value obtained for the total energy is -9.288 eV/atom. For the total magnetization, the calculation gives 0.00 μB/atom. As for the formation energy: 286 meV/atom.

abc: 2.9855 2.9855 30.1482
angles: 90.00 90.00 120.00
Space group R-3m (No. 166, hexagonal axes)
One atom of each set of equivalent atoms:
Ta 0.0000 0.0000 0.0000
Ta 0.0000 0.0000 0.2509
In 0.0000 0.0000 0.5000

[17]
DFT (PBE) results for an optimized crystal structure of TaIn5.

Its energy above the most stable polymorph in this dataset is 24.0 meV/atom. The value obtained for the total energy is -4.014 eV/atom. For the total magnetization, the calculation gives 0.00 μB/atom. As for the formation energy: 243 meV/atom.

abc: 5.1170 3.1714 17.4714
angles: 90.00 90.00 90.00
Space group Amm2 (No. 38)
One atom of each set of equivalent atoms:
Ta 0.0000 0.0000 0.0000
In 0.0000 0.0000 0.3452
In 0.0000 0.0000 0.6553
In 0.5000 0.0000 0.1088
In 0.5000 0.0000 0.4585
In 0.5000 0.0000 0.7737

[18]
DFT (PBE) results for an optimized crystal structure of TaIn.

The value obtained for the total energy is -7.012 eV/atom. For the total magnetization, the calculation gives 0.00 μB/atom. As for the formation energy: 284 meV/atom.

abc: 11.3249 2.9891 7.3081
angles: 90.00 103.77 90.00
Space group Cm (No. 8)
One atom of each set of equivalent atoms:
Ta 0.0000 0.0000 0.0000
Ta 0.0561 0.0000 0.6284
Ta 0.3941 0.0000 0.2921
In 0.1617 0.5000 0.3386
In 0.2268 0.5000 0.9613
In 0.3384 0.0000 0.6742

[19]
DFT (PBE) results for an optimized crystal structure of TaIn2.

The value obtained for the total energy is -5.507 eV/atom. For the total magnetization, the calculation gives 0.00 μB/atom. As for the formation energy: 270 meV/atom.

abc: 3.1431 3.1431 7.5525
angles: 90.00 90.00 120.00
Space group P-3m1 (No. 164)
One atom of each set of equivalent atoms:
Ta 0.0000 0.0000 0.0000
In 0.3333 0.6667 0.3211

[20]
DFT (PBE) results for an optimized crystal structure of TaIn.

The value obtained for the total energy is -6.983 eV/atom. For the total magnetization, the calculation gives 0.00 μB/atom. As for the formation energy: 313 meV/atom.

abc: 3.0449 3.0449 10.3690
angles: 90.00 90.00 120.00
Space group P-3m1 (No. 164)
One atom of each set of equivalent atoms:
Ta 0.3333 0.6667 0.1192
In 0.3333 0.6667 0.6394